1.
VASP calculation (GGA+U) on a relaxed Rb2ZrMnF6 crystal.

Unit cell a=6.2405 b=6.2405 c=6.2405 alpha=119.61 beta=119.61 gamma=90.68
With the nearest neighbours (Å) after each atom.
Sites, in units of the cell vectors:
Rb 0.2500 0.7500 0.5000  12 F 3.12-3.14
Rb 0.7500 0.2500 0.5000  12 F 3.12-3.14
Zr 0.0000 0.0000 0.0000  6 F 2.21-2.28
Mn 0.5000 0.5000 0.0000  6 F 2.16-2.18
F 0.2515 0.2515 0.0000  1 Mn 2.18, 1 Zr 2.21
F 0.2571 0.2571 0.5142  1 Mn 2.16, 1 Zr 2.28
F 0.2571 0.7429 0.0000  1 Mn 2.16, 1 Zr 2.28
F 0.7429 0.2571 0.0000  1 Mn 2.16, 1 Zr 2.28
F 0.7429 0.7429 0.4858  1 Mn 2.16, 1 Zr 2.28
F 0.7485 0.7485 0.0000  1 Mn 2.18, 1 Zr 2.21

Values from the calculation:
Volume (Å³ per cell): 172.8
E_tot (eV/atom): -5.570
Space-group type: I4/mmm, No. 139
Crystal system: tetragonal


2.
VASP calculation (GGA+U) on a relaxed VPRhO2 crystal.

Unit cell a=3.7859 b=3.7859 c=5.2193 alpha=90.00 beta=90.00 gamma=90.00
With the nearest neighbours (Å) after each atom.
Sites, in units of the cell vectors:
V 0.0000 0.0000 0.0000  4 P 2.68
P 0.5000 0.5000 0.0000  2 Rh 2.61, 4 V 2.68
Rh 0.5000 0.5000 0.5000  4 O 1.89
O 0.0000 0.5000 0.5000  2 Rh 1.89
O 0.5000 0.0000 0.5000  2 Rh 1.89

Values from the calculation:
Volume (Å³ per cell): 74.8
Space-group type: P4/mmm, No. 123
Crystal system: tetragonal
Energy relative to the lowest polymorph listed for this composition (kJ/mol of formula units): 255